VASP calculation (PBE) on U2Co9Ni after structural relaxation.

space-group type: P4/mmm (123)
spin magnetization: 6.9 μB/f.u.
total DFT energy (no corrections): -93.74 eV per formula unit

Lattice parameters (Å, degrees): 3.7320 3.7320 10.7581 90.00 90.00 90.00
Each line ends with the local moment (μB).
Fractional positions:
U (0.0000, 0.0000, 0.3234)  -1.07
U (0.0000, 0.0000, 0.6766)  -1.07
Co (0.5000, 0.5000, 0.0000)  1.76
Co (0.5000, 0.5000, 0.3265)  0.57
Co (0.5000, 0.5000, 0.6735)  0.57
Co (0.5000, 0.0000, 0.1512)  1.13
Co (0.5000, 0.0000, 0.5000)  0.53
Co (0.5000, 0.0000, 0.8488)  1.13
Co (0.0000, 0.5000, 0.1512)  1.13
Co (0.0000, 0.5000, 0.5000)  0.53
Co (0.0000, 0.5000, 0.8488)  1.13
Ni (0.0000, 0.0000, 0.0000)  0.83